1.
CrCoW2 | GGA-PBEsol | optimized geometry

Cell: 3.0762 4.1763 4.8990 Å, 115.23 108.30 90.00°
Last column: nearest neighbours and their distance in Å.
Fractional positions:
W 0.9922 0.9922 0.9843  2 Cr 2.49, 4 Co 2.60, 2 W 2.62
W 0.7477 0.2477 0.4954  4 Cr 2.59, 2 W 2.62, 2 Co 2.63
Co 0.5041 0.5041 0.0082  6 W 2.60-2.63, 2 Cr 2.60
Cr 0.2561 0.7561 0.5121  6 W 2.49-2.59, 2 Co 2.60

Results
- Energy relative to the elements: 0.21 eV per atom
- Spin magnetization: 0.297 μB/atom
- SG: Imm2

***

2.
CrCoW2 | GGA-PBEsol | optimized geometry

Cell: 2.6177 4.8637 4.8637 Å, 114.30 99.80 99.80°
Last column: nearest neighbours and their distance in Å.
Fractional positions:
W 0.0000 0.5000 0.0000  2 Cr 2.56, 2 Co 2.56, 4 W 2.62-2.64
W 0.0000 0.0000 0.5000  2 Co 2.56, 2 Cr 2.56, 4 W 2.62-2.64
Co 0.5000 0.5000 0.5000  4 W 2.56, 2 Co 2.62, 2 Cr 2.64
Cr 0.5000 0.0000 0.0000  4 W 2.56, 2 Cr 2.62, 2 Co 2.64

Results
- Energy relative to the elements: 0.22 eV per atom
- Spin magnetization: 0.366 μB/atom
- SG: C2/m

***

3.
CrCoW | GGA-PBEsol | optimized geometry

Cell: 3.0099 3.0099 4.7111 Å, 108.63 108.63 90.00°
Last column: nearest neighbours and their distance in Å.
Fractional positions:
W 0.3323 0.3323 0.6647  5 Cr 2.55-2.80, 5 Co 2.56-2.78
Cr 0.6658 0.6658 0.3317  5 Co 2.54-2.82, 5 W 2.55-2.80
Co 0.0018 0.0018 0.0037  5 Cr 2.54-2.82, 5 W 2.56-2.78

Results
- Energy relative to the elements: 0.23 eV per atom
- Spin magnetization: 0.917 μB/atom
- SG: I4mm

***

4.
CrCo2W | GGA-PBEsol | optimized geometry

Cell: 3.5859 3.5859 3.5965 Å, 90.00 90.00 90.00°
Last column: nearest neighbours and their distance in Å.
Fractional positions:
Cr 0.5000 0.5000 0.5000  4 W 2.54, 8 Co 2.54
Co 0.0000 0.5000 0.0000  4 Co 2.54, 4 Cr 2.54, 4 W 2.54
Co 0.5000 0.0000 0.0000  4 Co 2.54, 4 Cr 2.54, 4 W 2.54
W 0.0000 0.0000 0.5000  4 Cr 2.54, 8 Co 2.54

Results
- Energy relative to the elements: 0.00 eV per atom
- Spin magnetization: 0.000 μB/atom
- SG: P4/mmm

***

5.
CrCo6W | GGA-PBEsol | optimized geometry

Cell: 6.0560 6.0560 9.8914 Å, 90.00 90.00 109.59°
Last column: nearest neighbours and their distance in Å.
Fractional positions:
Co 0.5000 0.5000 0.5000  2 Cr 2.44, 2 W 2.45, 8 Co 2.49
Co 0.8787 0.6320 0.1282  1 Cr 2.44, 8 Co 2.44-2.54, 3 W 2.48-2.51
Co 0.5000 0.5000 0.0000  4 W 2.45-2.49, 8 Co 2.51
Co 0.3721 0.1182 0.3779  8 Co 2.41-2.51, 3 Cr 2.44-2.46, 1 W 2.51
Co 0.1213 0.3680 0.8718  1 Cr 2.44, 8 Co 2.44-2.54, 3 W 2.48-2.51
Co 0.2466 0.7534 0.2554  8 Co 2.41-2.53, 2 Cr 2.42-2.44, 2 W 2.51-2.53
Co 0.8818 0.6279 0.6221  8 Co 2.41-2.51, 3 Cr 2.44-2.46, 1 W 2.51
Co 0.3680 0.1213 0.8718  1 Cr 2.44, 8 Co 2.44-2.54, 3 W 2.48-2.51
Co 0.3680 0.1213 0.1282  1 Cr 2.44, 8 Co 2.44-2.54, 3 W 2.48-2.51
Co 0.0000 0.0000 0.0000  8 Co 2.45, 2 W 2.50, 2 Cr 2.50
Co 0.6320 0.8787 0.8718  1 Cr 2.44, 8 Co 2.44-2.54, 3 W 2.48-2.51
Co 0.8787 0.6320 0.8718  1 Cr 2.44, 8 Co 2.44-2.54, 3 W 2.48-2.51
Co 0.6279 0.8818 0.6221  8 Co 2.41-2.51, 3 Cr 2.44-2.46, 1 W 2.51
Co 0.1182 0.3721 0.6221  8 Co 2.41-2.51, 3 Cr 2.44-2.46, 1 W 2.51
Co 0.7534 0.2466 0.7446  8 Co 2.41-2.53, 2 Cr 2.42-2.44, 2 W 2.51-2.53
Co 0.6279 0.8818 0.3779  8 Co 2.41-2.51, 3 Cr 2.44-2.46, 1 W 2.51
Co 0.8818 0.6279 0.3779  8 Co 2.41-2.51, 3 Cr 2.44-2.46, 1 W 2.51
Co 0.7534 0.2466 0.2554  8 Co 2.41-2.53, 2 Cr 2.42-2.44, 2 W 2.51-2.53
Co 0.3721 0.1182 0.6221  8 Co 2.41-2.51, 3 Cr 2.44-2.46, 1 W 2.51
Co 0.2466 0.7534 0.7446  8 Co 2.41-2.53, 2 Cr 2.42-2.44, 2 W 2.51-2.53
Co 0.1182 0.3721 0.3779  8 Co 2.41-2.51, 3 Cr 2.44-2.46, 1 W 2.51
Co 0.6320 0.8787 0.1282  1 Cr 2.44, 8 Co 2.44-2.54, 3 W 2.48-2.51
Co 0.1213 0.3680 0.1282  1 Cr 2.44, 8 Co 2.44-2.54, 3 W 2.48-2.51
Co 0.0000 0.0000 0.5000  4 Cr 2.44-2.51, 8 Co 2.44
Cr 0.2533 0.7467 0.5000  12 Co 2.42-2.51
Cr 0.0000 0.0000 0.7469  12 Co 2.44-2.50
Cr 0.7467 0.2533 0.5000  12 Co 2.42-2.51
Cr 0.0000 0.0000 0.2531  12 Co 2.44-2.50
W 0.7472 0.2528 0.0000  12 Co 2.45-2.53
W 0.2528 0.7472 0.0000  12 Co 2.45-2.53
W 0.5000 0.5000 0.7480  12 Co 2.45-2.51
W 0.5000 0.5000 0.2520  12 Co 2.45-2.51

Results
- Energy relative to the elements: -0.03 eV per atom
- Spin magnetization: 0.108 μB/atom
- SG: Cmmm

***

6.
YCr4Co | GGA-PBEsol | optimized geometry

Cell: 4.8604 4.8604 4.8604 Å, 60.00 60.00 60.00°
Last column: nearest neighbours and their distance in Å.
Fractional positions:
Cr 0.6247 0.1259 0.6247  6 Cr 2.42-2.44
Cr 0.6247 0.6247 0.6247  6 Cr 2.42-2.44
Cr 0.1259 0.6247 0.6247  6 Cr 2.42-2.44
Cr 0.6247 0.6247 0.1259  6 Cr 2.42-2.44
Co 0.0000 0.0000 0.0000  12 Cr 2.85, 4 Y 2.98
Y 0.2500 0.2500 0.2500  12 Cr 2.85, 4 Co 2.98

Results
- Energy relative to the elements: 0.46 eV per atom
- Spin magnetization: 0.134 μB/atom
- SG: F-43m

***

Number 1: raw total energy -11.184 eV per atom. Number 2: raw total energy -11.177 eV per atom. Number 3: raw total energy -10.362 eV per atom. Number 4: raw total energy -9.878 eV per atom. Number 5: raw total energy -8.836 eV per atom. Number 6: raw total energy -8.792 eV per atom.